# Mg2MnPd, relaxed, DFT PBE-GGA
# Density = 5.213 g cm⁻³
# N(E_F) = 2.7 states/eV/cell
# Symmetry = No. 123
# Energy relative to the elements = -0.20 eV/atom
# Electronic total energy = -0.169 hartree per atom
data_Mg2MnPd
_chemical_formula_sum 'Mg2 Mn1 Pd1'
_space_group_name_H-M_alt 'P 1'
_space_group_IT_number 1
_space_group_name_Hall 'P 1'
_cell_length_a 3.2401
_cell_length_b 3.2401
_cell_length_c 6.3706
_cell_angle_alpha 90.00
_cell_angle_beta 90.00
_cell_angle_gamma 90.00
loop_
_atom_site_label
_atom_site_type_symbol
_atom_site_fract_x
_atom_site_fract_y
_atom_site_fract_z
_atom_site_occupancy
Mn1 Mn 0.5000 0.5000 0.5000 1
Mg1 Mg 0.0000 0.0000 0.7621 1
Mg2 Mg 0.0000 0.0000 0.2379 1
Pd1 Pd 0.5000 0.5000 0.0000 1